No. 1
Compound: LuAgSnO3
Source: OQMD via LeMat-Bulk
Functional: PBE
Structure: optimized geometry

electronic total energy	-6.3371	eV per atom
space-group type	Cmcm, No. 63

Unit cell a=6.889 b=6.889 c=8.284 alpha=90.00 beta=90.00 gamma=151.47
Fractional positions:
Ag  0.674  0.326  0.250
Ag  0.326  0.674  0.750
Lu  0.000  0.000  0.000
Lu  0.000  0.000  0.500
O  0.605  0.395  0.003
O  0.944  0.056  0.250
O  0.605  0.395  0.497
O  0.395  0.605  0.503
O  0.056  0.944  0.750
O  0.395  0.605  0.997
Sn  0.340  0.660  0.250
Sn  0.660  0.340  0.750


No. 2
Compound: SrLuAgO3
Source: OQMD via LeMat-Bulk
Functional: PBE
Structure: optimized geometry

electronic total energy	-6.3141	eV per atom
space-group type	Cmcm, No. 63

Unit cell a=6.570 b=6.570 c=8.661 alpha=90.00 beta=90.00 gamma=31.15
Fractional positions:
Ag  0.384  0.384  0.250
Ag  0.616  0.616  0.750
Lu  0.000  0.000  0.000
Lu  0.000  0.000  0.500
O  0.387  0.387  0.013
O  0.048  0.048  0.250
O  0.387  0.387  0.487
O  0.613  0.613  0.513
O  0.952  0.952  0.750
O  0.613  0.613  0.987
Sr  0.677  0.677  0.250
Sr  0.323  0.323  0.750


Question: Among the records above, which one has the highest electronic total energy?
Answer: SrLuAgO3


Question: What is the formula in the second record?
Answer: SrLuAgO3


Repeat the second record exactly.
Compound: SrLuAgO3
Source: OQMD via LeMat-Bulk
Functional: PBE
Structure: optimized geometry

electronic total energy	-6.3141	eV per atom
space-group type	Cmcm, No. 63

Unit cell a=6.570 b=6.570 c=8.661 alpha=90.00 beta=90.00 gamma=31.15
Fractional positions:
Ag  0.384  0.384  0.250
Ag  0.616  0.616  0.750
Lu  0.000  0.000  0.000
Lu  0.000  0.000  0.500
O  0.387  0.387  0.013
O  0.048  0.048  0.250
O  0.387  0.387  0.487
O  0.613  0.613  0.513
O  0.952  0.952  0.750
O  0.613  0.613  0.987
Sr  0.677  0.677  0.250
Sr  0.323  0.323  0.750